Entry 1:
# BeCoCuW

A relaxed BeCoCuW crystal (PBE-GGA, OQMD via LeMat-Bulk).

It has space group F-43m (No. 216), with a = 5.6847 Å, b = 5.6847 Å, c = 5.6847 Å, α = 90.00°, β = 90.00° and γ = 90.00°. The distinct sites, in fractional coordinates, are Be at (0.0000, 0.0000, 0.0000), Co at (0.2500, 0.2500, 0.7500), Cu at (0.0000, 0.0000, 0.5000) and W at (0.2500, 0.2500, 0.2500).

The energy above the most stable polymorph in this dataset is 88.9 kJ/mol of formula units.

---

Entry 2:
# BeCoCuW

A relaxed BeCoCuW crystal (PBE-GGA, OQMD via LeMat-Bulk).

It has space group F-43m (No. 216), with a = 5.6983 Å, b = 5.6983 Å, c = 5.6983 Å, α = 90.00°, β = 90.00° and γ = 90.00°. The distinct sites, in fractional coordinates, are Be at (0.0000, 0.0000, 0.0000), Co at (0.0000, 0.0000, 0.5000), Cu at (0.2500, 0.2500, 0.7500) and W at (0.2500, 0.2500, 0.2500).

The energy above the most stable polymorph in this dataset is 0.0 kJ/mol of formula units.

---

Entry 3:
# BeZnCoCu

A relaxed BeZnCoCu crystal (PBE-GGA, OQMD via LeMat-Bulk).

It has space group F-43m (No. 216), with a = 5.5810 Å, b = 5.5810 Å, c = 5.5810 Å, α = 90.00°, β = 90.00° and γ = 90.00°. The distinct sites, in fractional coordinates, are Be at (0.0000, 0.0000, 0.0000), Zn at (0.2500, 0.2500, 0.2500), Co at (0.2500, 0.2500, 0.7500) and Cu at (0.0000, 0.0000, 0.5000).

The energy above the most stable polymorph in this dataset is 27.3 kJ/mol of formula units.

---

Entry 4:
# BeZnCoCu

A relaxed BeZnCoCu crystal (PBE-GGA, OQMD via LeMat-Bulk).

It has space group F-43m (No. 216), with a = 5.5694 Å, b = 5.5694 Å, c = 5.5694 Å, α = 90.00°, β = 90.00° and γ = 90.00°. The distinct sites, in fractional coordinates, are Be at (0.0000, 0.0000, 0.0000), Zn at (0.0000, 0.0000, 0.5000), Co at (0.2500, 0.2500, 0.7500) and Cu at (0.2500, 0.2500, 0.2500).

The energy above the most stable polymorph in this dataset is 0.0 kJ/mol of formula units.

---

Entry 5:
# DyBe2Co2

A relaxed DyBe2Co2 crystal (PBE-GGA, OQMD via LeMat-Bulk).

It has space group Fddd (No. 70, origin choice 2), with a = 2.8508 Å, b = 11.7075 Å, c = 14.8860 Å, α = 90.00°, β = 90.00° and γ = 90.00°. The distinct sites, in fractional coordinates, are Dy at (0.1250, 0.1250, 0.1250), Be at (0.1250, 0.1250, 0.4306) and Co at (0.0000, 0.0000, 0.0000).

The calculation puts the total energy at -4.92 eV per atom.

---

Entry 6:
# Er2Be4Co

A relaxed Er2Be4Co crystal (PBE-GGA, OQMD via LeMat-Bulk).

It has space group I4/mmm (No. 139), with a = 5.0388 Å, b = 5.0388 Å, c = 8.7757 Å, α = 90.00°, β = 90.00° and γ = 90.00°. The distinct sites, in fractional coordinates, are Er at (0.0000, 0.5000, 0.2500), Be at (0.2129, 0.2129, 0.0000) and Co at (0.0000, 0.0000, 0.5000).

The calculation puts the total energy at -4.16 eV per atom.

---

Entry 7:
# BeInFeCo

A relaxed BeInFeCo crystal (PBE-GGA, OQMD via LeMat-Bulk).

It has space group F-43m (No. 216), with a = 5.8824 Å, b = 5.8824 Å, c = 5.8824 Å, α = 90.00°, β = 90.00° and γ = 90.00°. The distinct sites, in fractional coordinates, are Be at (0.0000, 0.0000, 0.0000), In at (0.2500, 0.2500, 0.2500), Fe at (0.2500, 0.2500, 0.7500) and Co at (0.0000, 0.0000, 0.5000).

The energy above the most stable polymorph in this dataset is 0.0 kJ/mol of formula units.

---

Entry 8:
# Be2Fe2CoSi2Ir

A relaxed Be2Fe2CoSi2Ir crystal (PBE-GGA, OQMD via LeMat-Bulk).

It has space group P-4m2 (No. 115), with a = 3.8654 Å, b = 3.8654 Å, c = 5.5003 Å, α = 90.00°, β = 90.00° and γ = 90.00°. The distinct sites, in fractional coordinates, are Be at (0.0000, 0.5000, 0.2382), Fe at (0.0000, 0.0000, 0.5000), Fe at (0.5000, 0.5000, 0.0000), Co at (0.0000, 0.0000, 0.0000), Si at (0.0000, 0.5000, 0.7653) and Ir at (0.5000, 0.5000, 0.5000).

The calculation puts the total energy at -6.90 eV per atom.

---

Entry 9:
# Be2FeCo2Si2Os

A relaxed Be2FeCo2Si2Os crystal (PBE-GGA, OQMD via LeMat-Bulk).

It has space group P-4m2 (No. 115), with a = 3.8670 Å, b = 3.8670 Å, c = 5.4877 Å, α = 90.00°, β = 90.00° and γ = 90.00°. The distinct sites, in fractional coordinates, are Be at (0.0000, 0.5000, 0.2387), Fe at (0.0000, 0.0000, 0.0000), Co at (0.0000, 0.0000, 0.5000), Co at (0.5000, 0.5000, 0.0000), Si at (0.0000, 0.5000, 0.7634) and Os at (0.5000, 0.5000, 0.5000).

The calculation puts the total energy at -6.98 eV per atom.

---

Entry 10:
# Be2FeCoSi2Pt2

A relaxed Be2FeCoSi2Pt2 crystal (PBE-GGA, OQMD via LeMat-Bulk).

It has space group P-4m2 (No. 115), with a = 3.9981 Å, b = 3.9981 Å, c = 5.6531 Å, α = 90.00°, β = 90.00° and γ = 90.00°. The distinct sites, in fractional coordinates, are Be at (0.0000, 0.5000, 0.2479), Fe at (0.5000, 0.5000, 0.0000), Co at (0.0000, 0.0000, 0.5000), Si at (0.0000, 0.5000, 0.7522), Pt at (0.0000, 0.0000, 0.0000) and Pt at (0.5000, 0.5000, 0.5000).

The calculation puts the total energy at -6.24 eV per atom.

---

Entry 11:
# Be2FeCo2Si2Pt

A relaxed Be2FeCo2Si2Pt crystal (PBE-GGA, OQMD via LeMat-Bulk).

It has space group P-4m2 (No. 115), with a = 3.8595 Å, b = 3.8595 Å, c = 5.5894 Å, α = 90.00°, β = 90.00° and γ = 90.00°. The distinct sites, in fractional coordinates, are Be at (0.0000, 0.5000, 0.2309), Fe at (0.0000, 0.0000, 0.0000), Co at (0.0000, 0.0000, 0.5000), Co at (0.5000, 0.5000, 0.0000), Si at (0.0000, 0.5000, 0.7738) and Pt at (0.5000, 0.5000, 0.5000).

The calculation puts the total energy at -6.41 eV per atom.

---

Entry 12:
# BeFeCoSb

A relaxed BeFeCoSb crystal (PBE-GGA, OQMD via LeMat-Bulk).

It has space group F-43m (No. 216), with a = 5.7755 Å, b = 5.7755 Å, c = 5.7755 Å, α = 90.00°, β = 90.00° and γ = 90.00°. The distinct sites, in fractional coordinates, are Be at (0.0000, 0.0000, 0.0000), Fe at (0.2500, 0.2500, 0.7500), Co at (0.2500, 0.2500, 0.2500) and Sb at (0.0000, 0.0000, 0.5000).

The energy above the most stable polymorph in this dataset is 0.0 kJ/mol of formula units.

---

Entry 13:
# BeFeCoSn

A relaxed BeFeCoSn crystal (PBE-GGA, OQMD via LeMat-Bulk).

It has space group F-43m (No. 216), with a = 5.7867 Å, b = 5.7867 Å, c = 5.7867 Å, α = 90.00°, β = 90.00° and γ = 90.00°. The distinct sites, in fractional coordinates, are Be at (0.0000, 0.0000, 0.0000), Fe at (0.2500, 0.2500, 0.7500), Co at (0.2500, 0.2500, 0.2500) and Sn at (0.0000, 0.0000, 0.5000).

The energy above the most stable polymorph in this dataset is 0.0 kJ/mol of formula units.

---

Entry 14:
# BeGaCo2

A relaxed BeGaCo2 crystal (PBE-GGA, OQMD via LeMat-Bulk).

It has space group F-43m (No. 216), with a = 5.5731 Å, b = 5.5731 Å, c = 5.5731 Å, α = 90.00°, β = 90.00° and γ = 90.00°. The distinct sites, in fractional coordinates, are Be at (0.0000, 0.0000, 0.0000), Ga at (0.2500, 0.2500, 0.2500), Co at (0.0000, 0.0000, 0.5000) and Co at (0.2500, 0.2500, 0.7500).

The calculation puts the total energy at -5.26 eV per atom.

---

Entry 15:
# BeGaCoHg

A relaxed BeGaCoHg crystal (PBE-GGA, OQMD via LeMat-Bulk).

It has space group F-43m (No. 216), with a = 6.0465 Å, b = 6.0465 Å, c = 6.0465 Å, α = 90.00°, β = 90.00° and γ = 90.00°. The distinct sites, in fractional coordinates, are Be at (0.0000, 0.0000, 0.0000), Ga at (0.2500, 0.2500, 0.2500), Co at (0.0000, 0.0000, 0.5000) and Hg at (0.2500, 0.2500, 0.7500).

The energy above the most stable polymorph in this dataset is 0.0 kJ/mol of formula units.

---

Entry 16:
# BeGaCoHg

A relaxed BeGaCoHg crystal (PBE-GGA, OQMD via LeMat-Bulk).

It has space group F-43m (No. 216), with a = 6.0371 Å, b = 6.0371 Å, c = 6.0371 Å, α = 90.00°, β = 90.00° and γ = 90.00°. The distinct sites, in fractional coordinates, are Be at (0.0000, 0.0000, 0.0000), Ga at (0.0000, 0.0000, 0.5000), Co at (0.2500, 0.2500, 0.7500) and Hg at (0.2500, 0.2500, 0.2500).

The energy above the most stable polymorph in this dataset is 11.7 kJ/mol of formula units.

---

Entry 17:
# LuBeGaCo

A relaxed LuBeGaCo crystal (PBE-GGA, OQMD via LeMat-Bulk).

It has space group F-43m (No. 216), with a = 6.1289 Å, b = 6.1289 Å, c = 6.1289 Å, α = 90.00°, β = 90.00° and γ = 90.00°. The distinct sites, in fractional coordinates, are Lu at (0.0000, 0.0000, 0.0000), Be at (0.2500, 0.2500, 0.2500), Ga at (0.0000, 0.0000, 0.5000) and Co at (0.2500, 0.2500, 0.7500).

The energy above the most stable polymorph in this dataset is 0.0 kJ/mol of formula units.

---

Entry 18:
# LuBeGaCo

A relaxed LuBeGaCo crystal (PBE-GGA, OQMD via LeMat-Bulk).

It has space group F-43m (No. 216), with a = 6.1388 Å, b = 6.1388 Å, c = 6.1388 Å, α = 90.00°, β = 90.00° and γ = 90.00°. The distinct sites, in fractional coordinates, are Lu at (0.0000, 0.0000, 0.0000), Be at (0.2500, 0.2500, 0.7500), Ga at (0.2500, 0.2500, 0.2500) and Co at (0.0000, 0.0000, 0.5000).

The energy above the most stable polymorph in this dataset is 4.1 kJ/mol of formula units.

---

Entry 19:
# BeGaCoMo

A relaxed BeGaCoMo crystal (PBE-GGA, OQMD via LeMat-Bulk).

It has space group F-43m (No. 216), with a = 5.8357 Å, b = 5.8357 Å, c = 5.8357 Å, α = 90.00°, β = 90.00° and γ = 90.00°. The distinct sites, in fractional coordinates, are Be at (0.0000, 0.0000, 0.0000), Ga at (0.0000, 0.0000, 0.5000), Co at (0.2500, 0.2500, 0.7500) and Mo at (0.2500, 0.2500, 0.2500).

The energy above the most stable polymorph in this dataset is 21.5 kJ/mol of formula units.

---

Entry 20:
# BeGaCoMo

A relaxed BeGaCoMo crystal (PBE-GGA, OQMD via LeMat-Bulk).

It has space group F-43m (No. 216), with a = 5.8140 Å, b = 5.8140 Å, c = 5.8140 Å, α = 90.00°, β = 90.00° and γ = 90.00°. The distinct sites, in fractional coordinates, are Be at (0.0000, 0.0000, 0.0000), Ga at (0.2500, 0.2500, 0.2500), Co at (0.0000, 0.0000, 0.5000) and Mo at (0.2500, 0.2500, 0.7500).

The energy above the most stable polymorph in this dataset is 0.0 kJ/mol of formula units.